1.
The following is a PBE calculation of crystalline SrCd6In4 at its relaxed geometry, from Alexandria via LeMat-Bulk.

Cell: 8.540 8.540 4.621 Å, 90.00 90.00 120.00°
Fractional coordinates of all 11 atoms:
Sr 0.000 0.000 0.000
Cd 0.197 0.395 0.500
Cd 0.197 0.803 0.500
Cd 0.534 0.068 0.000
Cd 0.534 0.466 0.000
Cd 0.605 0.803 0.500
Cd 0.932 0.466 0.000
In 0.333 0.667 0.000
In 0.399 0.200 0.500
In 0.800 0.200 0.500
In 0.800 0.601 0.500

Values from the calculation:
Energy above the lowest structure with this stoichiometry   0.000 eV/atom
Crystal system   hexagonal
Symmetry   No. 187
Energy of formation from the pure elements   -0.084 eV per atom


2.
The following is a PBE calculation of crystalline Sr3Cd5In6 at its relaxed geometry, from Alexandria via LeMat-Bulk.

Cell: 4.997 14.397 10.805 Å, 90.00 90.00 90.00°
Fractional coordinates of all 28 atoms:
Sr 0.250 0.046 0.248
Sr 0.250 0.454 0.248
Sr 0.250 0.750 0.250
Sr 0.750 0.250 0.750
Sr 0.750 0.546 0.752
Sr 0.750 0.954 0.752
Cd 0.250 0.095 0.614
Cd 0.250 0.405 0.614
Cd 0.250 0.605 0.973
Cd 0.250 0.750 0.755
Cd 0.250 0.895 0.973
Cd 0.750 0.105 0.027
Cd 0.750 0.250 0.245
Cd 0.750 0.395 0.027
Cd 0.750 0.595 0.386
Cd 0.750 0.905 0.386
In 0.250 0.094 0.882
In 0.250 0.250 0.066
In 0.250 0.250 0.430
In 0.250 0.406 0.882
In 0.250 0.607 0.532
In 0.250 0.893 0.532
In 0.750 0.107 0.468
In 0.750 0.393 0.468
In 0.750 0.594 0.118
In 0.750 0.750 0.570
In 0.750 0.750 0.934
In 0.750 0.906 0.118

Values from the calculation:
Crystal system   orthorhombic
Symmetry   No. 59
Energy of formation from the pure elements   -0.300 eV per atom


3.
The following is a PBE calculation of crystalline Sr2Cd5In at its relaxed geometry, from Alexandria via LeMat-Bulk.

Cell: 9.408 9.408 10.244 Å, 90.00 90.00 149.61°
Fractional coordinates of all 16 atoms:
Sr 0.000 0.000 0.000
Sr 0.000 0.000 0.500
Sr 0.197 0.803 0.750
Sr 0.803 0.197 0.250
Cd 0.189 0.811 0.107
Cd 0.189 0.811 0.393
Cd 0.351 0.649 0.024
Cd 0.351 0.649 0.476
Cd 0.395 0.605 0.750
Cd 0.605 0.395 0.250
Cd 0.649 0.351 0.524
Cd 0.649 0.351 0.976
Cd 0.811 0.189 0.607
Cd 0.811 0.189 0.893
In 0.447 0.553 0.250
In 0.553 0.447 0.750

Values from the calculation:
Crystal system   orthorhombic
Symmetry   No. 63
Energy of formation from the pure elements   -0.297 eV per atom


4.
The following is a PBE calculation of crystalline SrCdIn3 at its relaxed geometry, from Alexandria via LeMat-Bulk.

Cell: 5.566 5.566 5.566 Å, 90.00 90.00 90.00°
Fractional coordinates of all 5 atoms:
Sr 0.000 0.000 0.000
Cd 0.500 0.500 0.500
In 0.000 0.500 0.500
In 0.500 0.000 0.500
In 0.500 0.500 0.000

Values from the calculation:
Crystal system   cubic
Symmetry   No. 221
Energy of formation from the pure elements   0.067 eV per atom


5.
The following is a PBE calculation of crystalline Sr2CdIn at its relaxed geometry, from Alexandria via LeMat-Bulk.

Cell: 7.441 7.441 7.441 Å, 105.05 105.05 118.73°
Fractional coordinates of all 8 atoms:
Sr 0.120 0.625 0.995
Sr 0.375 0.370 0.495
Sr 0.630 0.125 0.005
Sr 0.875 0.880 0.505
Cd 0.000 0.000 0.000
Cd 0.750 0.250 0.500
In 0.250 0.750 0.500
In 0.500 0.500 0.000

Values from the calculation:
Energy above the lowest structure with this stoichiometry   0.332 eV/atom
Crystal system   tetragonal
Symmetry   No. 122
Energy of formation from the pure elements   -0.063 eV per atom


6.
The following is a PBE calculation of crystalline Sr11Cd4In9 at its relaxed geometry, from Alexandria via LeMat-Bulk.

Cell: 14.396 14.396 4.130 Å, 90.00 90.00 112.56°
Fractional coordinates of all 24 atoms:
Sr 0.000 0.000 0.000
Sr 0.060 0.409 0.000
Sr 0.164 0.836 0.000
Sr 0.282 0.282 0.000
Sr 0.365 0.635 0.000
Sr 0.409 0.060 0.000
Sr 0.591 0.940 0.000
Sr 0.635 0.365 0.000
Sr 0.718 0.718 0.000
Sr 0.836 0.164 0.000
Sr 0.940 0.591 0.000
Cd 0.251 0.447 0.500
Cd 0.447 0.251 0.500
Cd 0.553 0.749 0.500
Cd 0.749 0.553 0.500
In 0.066 0.211 0.500
In 0.165 0.632 0.500
In 0.211 0.066 0.500
In 0.368 0.835 0.500
In 0.500 0.500 0.500
In 0.632 0.165 0.500
In 0.789 0.934 0.500
In 0.835 0.368 0.500
In 0.934 0.789 0.500

Values from the calculation:
Crystal system   orthorhombic
Symmetry   No. 65
Energy of formation from the pure elements   -0.370 eV per atom


- energy of formation from the pure elements of number 1 (SrCd6In4)?
  -0.084 eV per atom


- Number 1 is which compound?
  SrCd6In4